1.
# Li5As4Pt4

Crystalline Li5As4Pt4 at its relaxed geometry (PBE-GGA, the Alexandria database).

## Properties
Space group ... No. 87
Size of the total moment ... 0.00 μB per formula unit
Formation energy ... -685.4 kJ/mol of formula units
Uncorrected energy ... -59.43 eV per cell

Lattice parameters (Å, degrees): 3.859 7.791 7.791 86.48 75.66 75.66
Sites, in units of the cell vectors:
Pt (0.420, 0.705, 0.455)
Pt (0.875, 0.545, 0.705)
Pt (0.580, 0.295, 0.545)
Pt (0.125, 0.455, 0.295)
Li (0.272, 0.074, 0.382)
Li (0.000, 0.000, 0.000)
Li (0.346, 0.382, 0.926)
Li (0.654, 0.618, 0.074)
Li (0.728, 0.926, 0.618)
As (0.238, 0.731, 0.792)
As (0.031, 0.208, 0.731)
As (0.969, 0.792, 0.269)
As (0.762, 0.269, 0.208)

=====

2.
# LiAs3Pt

Crystalline LiAs3Pt at its relaxed geometry (PBE-GGA, the Alexandria database).

## Properties
Space group ... No. 221
Size of the total moment ... 0.00 μB per formula unit
Formation energy ... 174.9 kJ/mol of formula units
Uncorrected energy ... -20.09 eV per cell
Relative energy among the computed polymorphs ... 0.00 eV/f.u.

Lattice parameters (Å, degrees): 4.992 4.992 4.992 90.00 90.00 90.00
Sites, in units of the cell vectors:
As (0.000, 0.500, 0.000)
As (0.500, 0.000, 0.000)
As (0.000, 0.000, 0.500)
Li (0.500, 0.500, 0.500)
Pt (0.000, 0.000, 0.000)

=====

3.
# Li2AsPt2

Crystalline Li2AsPt2 at its relaxed geometry (PBE-GGA, the Alexandria database).

## Properties
Space group ... No. 127
Size of the total moment ... 0.00 μB per formula unit
Formation energy ... -146.0 kJ/mol of formula units
Uncorrected energy ... -44.14 eV per cell
Relative energy among the computed polymorphs ... 1.47 eV/f.u.

Lattice parameters (Å, degrees): 6.994 6.994 2.896 90.00 90.00 90.00
Sites, in units of the cell vectors:
Li (0.885, 0.615, 0.000)
Li (0.615, 0.115, 0.000)
Li (0.385, 0.885, 0.000)
Li (0.115, 0.385, 0.000)
Pt (0.685, 0.815, 0.500)
Pt (0.185, 0.685, 0.500)
Pt (0.315, 0.185, 0.500)
Pt (0.815, 0.315, 0.500)
As (0.000, 0.000, 0.000)
As (0.500, 0.500, 0.000)

=====

4.
# Li2As2Pt3

Crystalline Li2As2Pt3 at its relaxed geometry (PBE-GGA, the Alexandria database).

## Properties
Space group ... No. 12
Size of the total moment ... 0.00 μB per formula unit
Formation energy ... -328.6 kJ/mol of formula units
Uncorrected energy ... -34.65 eV per cell

Lattice parameters (Å, degrees): 3.743 5.358 6.639 110.00 90.00 110.44
Sites, in units of the cell vectors:
Pt (0.500, 0.000, 0.000)
Pt (0.623, 0.246, 0.450)
Pt (0.377, 0.754, 0.550)
As (0.832, 0.664, 0.792)
As (0.168, 0.336, 0.208)
Li (0.096, 0.191, 0.742)
Li (0.904, 0.809, 0.258)